# 1
Material: SmEr5TlIn2
Method: DFT, PBE
State: optimized geometry

a b c (Å): 9.303 9.303 9.303
angles (deg): 125.54 125.54 80.65
Sites, in units of the cell vectors:
1 Sm 0.250 0.750 0.500
2 Sm 0.750 0.250 0.500
3 Er 0.000 0.000 0.000
4 Er 0.076 0.576 0.919
5 Er 0.157 0.076 0.500
6 Er 0.343 0.843 0.919
7 Er 0.424 0.343 0.500
8 Er 0.500 0.500 0.000
9 Er 0.576 0.657 0.500
10 Er 0.657 0.157 0.081
11 Er 0.843 0.924 0.500
12 Er 0.924 0.424 0.081
13 Tl 0.250 0.250 0.000
14 Tl 0.750 0.750 0.000
15 In 0.111 0.389 0.500
16 In 0.389 0.889 0.278
17 In 0.611 0.111 0.722
18 In 0.889 0.611 0.500

Properties
space-group type = No. 140
Fermi-level density of states = 8.290 states/eV/f.u.
total magnetic moment = 0.0 Bohr magnetons per cell
formation energy = -31 meV per atom


# 2
Material: SmErTmIn
Method: DFT, PBE
State: optimized geometry

a b c (Å): 7.702 7.702 7.702
angles (deg): 90.00 90.00 90.00
Sites, in units of the cell vectors:
1 Sm 0.000 0.000 0.000
2 Sm 0.000 0.500 0.500
3 Sm 0.500 0.000 0.500
4 Sm 0.500 0.500 0.000
5 Er 0.000 0.000 0.500
6 Er 0.000 0.500 0.000
7 Er 0.500 0.000 0.000
8 Er 0.500 0.500 0.500
9 Tm 0.250 0.250 0.750
10 Tm 0.250 0.750 0.250
11 Tm 0.750 0.250 0.250
12 Tm 0.750 0.750 0.750
13 In 0.250 0.250 0.250
14 In 0.250 0.750 0.750
15 In 0.750 0.250 0.750
16 In 0.750 0.750 0.250

Properties
space-group type = No. 216
Fermi-level density of states = 6.608 states/eV/f.u.
total magnetic moment = 2.2 Bohr magnetons per cell
relative energy among the computed polymorphs = 0 meV per atom
formation energy = -137 meV per atom


# 3
Material: SmErTmIn
Method: DFT, PBE
State: optimized geometry

a b c (Å): 7.689 7.689 7.689
angles (deg): 90.00 90.00 90.00
Sites, in units of the cell vectors:
1 Sm 0.000 0.000 0.000
2 Sm 0.000 0.500 0.500
3 Sm 0.500 0.000 0.500
4 Sm 0.500 0.500 0.000
5 Er 0.250 0.250 0.250
6 Er 0.250 0.750 0.750
7 Er 0.750 0.250 0.750
8 Er 0.750 0.750 0.250
9 Tm 0.250 0.250 0.750
10 Tm 0.250 0.750 0.250
11 Tm 0.750 0.250 0.250
12 Tm 0.750 0.750 0.750
13 In 0.000 0.000 0.500
14 In 0.000 0.500 0.000
15 In 0.500 0.000 0.000
16 In 0.500 0.500 0.500

Properties
space-group type = No. 216
Fermi-level density of states = 5.693 states/eV/f.u.
total magnetic moment = 5.4 Bohr magnetons per cell
relative energy among the computed polymorphs = 51 meV per atom
formation energy = -86 meV per atom


# 4
Material: Sm3Er6Tm2In
Method: DFT, PBE
State: optimized geometry

a b c (Å): 6.085 6.085 11.544
angles (deg): 95.05 95.05 120.00
Sites, in units of the cell vectors:
1 Sm 0.000 0.000 0.000
2 Sm 0.333 0.667 0.000
3 Sm 0.667 0.333 0.000
4 Er 0.091 0.419 0.257
5 Er 0.252 0.252 0.744
6 Er 0.419 0.091 0.257
7 Er 0.581 0.909 0.743
8 Er 0.748 0.748 0.256
9 Er 0.909 0.581 0.743
10 Tm 0.166 0.834 0.500
11 Tm 0.834 0.166 0.500
12 In 0.500 0.500 0.500

Properties
space-group type = No. 12
Fermi-level density of states = 17.105 states/eV/f.u.
total magnetic moment = 0.1 Bohr magnetons per cell
formation energy = -34 meV per atom


# 5
Material: Sm2Er2Tm2In
Method: DFT, PBE
State: optimized geometry

a b c (Å): 11.647 3.493 11.510
angles (deg): 90.00 112.53 90.00
Sites, in units of the cell vectors:
1 Sm 0.031 0.000 0.256
2 Sm 0.469 0.500 0.744
3 Sm 0.531 0.500 0.256
4 Sm 0.969 0.000 0.744
5 Er 0.175 0.000 0.585
6 Er 0.325 0.500 0.415
7 Er 0.675 0.500 0.585
8 Er 0.825 0.000 0.415
9 Tm 0.250 0.000 0.133
10 Tm 0.250 0.500 0.867
11 Tm 0.750 0.000 0.867
12 Tm 0.750 0.500 0.133
13 In 0.000 0.500 0.000
14 In 0.500 0.000 0.000

Properties
space-group type = No. 12
Fermi-level density of states = 10.471 states/eV/f.u.
total magnetic moment = 0.0 Bohr magnetons per cell
formation energy = -19 meV per atom


# 6
Material: Sm6Y2Er3In
Method: DFT, PBE
State: optimized geometry

a b c (Å): 6.148 6.148 11.743
angles (deg): 95.03 95.03 120.08
Sites, in units of the cell vectors:
1 Sm 0.083 0.411 0.750
2 Sm 0.244 0.244 0.249
3 Sm 0.411 0.083 0.750
4 Sm 0.589 0.917 0.250
5 Sm 0.756 0.756 0.751
6 Sm 0.917 0.589 0.250
7 Y 0.334 0.666 0.500
8 Y 0.666 0.334 0.500
9 Er 0.167 0.833 0.000
10 Er 0.500 0.500 0.000
11 Er 0.833 0.167 0.000
12 In 0.000 0.000 0.500

Properties
space-group type = No. 12
Fermi-level density of states = 14.101 states/eV/f.u.
total magnetic moment = 0.0 Bohr magnetons per cell
formation energy = -40 meV per atom


# 7
Material: Sm3Y6Er2In
Method: DFT, PBE
State: optimized geometry

a b c (Å): 6.150 6.150 11.660
angles (deg): 95.07 95.07 120.01
Sites, in units of the cell vectors:
1 Sm 0.000 0.000 0.000
2 Sm 0.333 0.667 0.000
3 Sm 0.667 0.333 0.000
4 Y 0.092 0.420 0.257
5 Y 0.253 0.253 0.744
6 Y 0.420 0.092 0.257
7 Y 0.580 0.908 0.743
8 Y 0.747 0.747 0.256
9 Y 0.908 0.580 0.743
10 Er 0.166 0.834 0.500
11 Er 0.834 0.166 0.500
12 In 0.500 0.500 0.500

Properties
space-group type = No. 12
Fermi-level density of states = 17.441 states/eV/f.u.
total magnetic moment = 0.6 Bohr magnetons per cell
formation energy = -37 meV per atom


# 8
Material: Sm6Y3Er2In
Method: DFT, PBE
State: optimized geometry

a b c (Å): 6.179 6.179 11.721
angles (deg): 95.08 95.08 120.11
Sites, in units of the cell vectors:
1 Sm 0.081 0.410 0.245
2 Sm 0.247 0.247 0.753
3 Sm 0.410 0.081 0.245
4 Sm 0.590 0.919 0.755
5 Sm 0.753 0.753 0.247
6 Sm 0.919 0.590 0.755
7 Y 0.167 0.833 0.500
8 Y 0.500 0.500 0.500
9 Y 0.833 0.167 0.500
10 Er 0.334 0.666 0.000
11 Er 0.666 0.334 0.000
12 In 0.000 0.000 0.000

Properties
space-group type = No. 12
Fermi-level density of states = 14.316 states/eV/f.u.
total magnetic moment = 0.0 Bohr magnetons per cell
formation energy = -33 meV per atom